No. 1
The following is a PBE calculation of a geometry-optimized PmPuSbO2 structure, from the Alexandria database.

a = 3.9337 Å, b = 3.9337 Å, c = 7.1285 Å
α = 106.02°, β = 106.02°, γ = 90.00°
Each line ends with the local moment (μB).
Fractional coordinates of all 5 atoms:
Pm: 0.8425 0.8425 0.6851  -0.01
Pu: 0.1585 0.1585 0.3171  4.78
Sb: 0.5042 0.5042 0.0085  -0.10
O: 0.7473 0.2473 0.4947  -0.06
O: 0.2473 0.7473 0.4947  -0.06

Values from the calculation:
E_form (uncorrected), eV/atom: -2.44
DOS at the Fermi energy, states/eV per cell: 8.51
Symmetry: I4mm, No. 107

***

No. 2
The following is a PBE calculation of a geometry-optimized Pm2PuScO8 structure, from the Alexandria database.

a = 5.1189 Å, b = 5.1247 Å, c = 6.9622 Å
α = 90.00°, β = 90.00°, γ = 92.40°
Each line ends with the local moment (μB).
Fractional coordinates of all 12 atoms:
Pm: 0.5000 0.4998 0.7403  0.00
Pm: 0.5000 0.5002 0.2597  0.00
Pu: 0.0000 0.0000 0.0000  1.42
Sc: 0.0000 0.0000 0.5000  0.00
O: 0.1756 0.8228 0.2282  -0.06
O: 0.7200 0.7225 0.9999  -0.06
O: 0.8243 0.1772 0.2280  -0.06
O: 0.8244 0.1772 0.7718  -0.06
O: 0.2800 0.2775 0.0001  -0.06
O: 0.1757 0.8228 0.7720  -0.06
O: 0.7117 0.7125 0.5000  -0.01
O: 0.2883 0.2875 0.5000  -0.01

Values from the calculation:
E_form (uncorrected), eV/atom: -2.97
Symmetry: P2/m, No. 10

***

No. 3
The following is a PBE calculation of a geometry-optimized PmPuSe2O structure, from the Alexandria database.

a = 4.0325 Å, b = 4.0325 Å, c = 14.6775 Å
α = 90.00°, β = 90.00°, γ = 90.00°
Each line ends with the local moment (μB).
Fractional coordinates of all 10 atoms:
Pm: 0.5000 0.0000 0.1275  0.01
Pm: 0.0000 0.5000 0.8725  0.01
Pu: 0.5000 0.0000 0.5789  4.88
Pu: 0.0000 0.5000 0.4211  4.88
Se: 0.0000 0.5000 0.6826  -0.06
Se: 0.0000 0.5000 0.0901  0.00
Se: 0.5000 0.0000 0.9099  0.00
Se: 0.5000 0.0000 0.3174  -0.06
O: 0.0000 0.0000 0.5000  -0.14
O: 0.5000 0.5000 0.5000  -0.14

Values from the calculation:
E_form (uncorrected), eV/atom: -2.18
DOS at the Fermi energy, states/eV per cell: 12.07
Symmetry: P4/nmm, No. 129

***

No. 4
The following is a PBE calculation of a geometry-optimized PmPuSeO2 structure, from the Alexandria database.

a = 3.9009 Å, b = 3.9009 Å, c = 6.8019 Å
α = 106.66°, β = 106.66°, γ = 90.00°
Each line ends with the local moment (μB).
Fractional coordinates of all 5 atoms:
Pm: 0.8492 0.8492 0.6984  0.03
Pu: 0.1514 0.1514 0.3028  4.95
Se: 0.5005 0.5005 0.0010  -0.05
O: 0.7495 0.2495 0.4989  -0.04
O: 0.2495 0.7495 0.4989  -0.04

Values from the calculation:
E_form (uncorrected), eV/atom: -2.74
DOS at the Fermi energy, states/eV per cell: 11.30
Symmetry: I4mm, No. 107